Record 1
LuZnAu2 | PBE-GGA | relaxed

Properties
As for the total energy: -3.621 eV/atom. As for the formation enthalpy at 0 K: -533 meV per atom. The volume comes out at 19.51 Å³ per atom.

Unit cell a=4.5372 b=4.5372 c=3.7912 alpha=90.00 beta=90.00 gamma=90.00
Space group P4/mmm (No. 123)
One atom of each set of equivalent atoms:
Lu: 0.0000 0.0000 0.0000 [1 per cell]
Zn: 0.5000 0.5000 0.0000 [1 per cell]
Au: 0.0000 0.5000 0.5000 [2 per cell]

Record 2
LuZn4Au | PBE-GGA | relaxed

Properties
As for the total energy: -2.372 eV/atom. As for the formation enthalpy at 0 K: -223 meV per atom. The volume comes out at 17.04 Å³ per atom.

Unit cell a=7.4233 b=7.4233 c=7.4233 alpha=90.00 beta=90.00 gamma=90.00
Space group F-43m (No. 216)
One atom of each set of equivalent atoms:
Lu: 0.0000 0.0000 0.0000 [4 per cell]
Zn: 0.1252 0.1252 0.3748 [16 per cell]
Au: 0.2500 0.2500 0.7500 [4 per cell]

Record 3
Lu2ZnAu | PBE-GGA | relaxed

Properties
As for the total energy: -4.025 eV/atom. As for the formation enthalpy at 0 K: -627 meV per atom. The volume comes out at 21.69 Å³ per atom. The polymorph energy (0 for the lowest one) is 0.0110 eV per atom.

Unit cell a=7.0276 b=7.0276 c=7.0276 alpha=90.00 beta=90.00 gamma=90.00
Space group Fm-3m (No. 225)
One atom of each set of equivalent atoms:
Lu: 0.2500 0.2500 0.2500 [8 per cell]
Zn: 0.0000 0.0000 0.0000 [4 per cell]
Au: 0.0000 0.0000 0.5000 [4 per cell]

Record 4
Lu2ZnAu | PBE-GGA | relaxed

Properties
As for the total energy: -4.036 eV/atom. As for the formation enthalpy at 0 K: -638 meV per atom. The volume comes out at 21.60 Å³ per atom. The polymorph energy (0 for the lowest one) is 0.0000 eV per atom.

Unit cell a=3.5461 b=3.5461 c=6.8695 alpha=90.00 beta=90.00 gamma=90.00
Space group P4/mmm (No. 123)
One atom of each set of equivalent atoms:
Lu: 0.0000 0.0000 0.2496 [2 per cell]
Zn: 0.5000 0.5000 0.0000 [1 per cell]
Au: 0.5000 0.5000 0.5000 [1 per cell]

Record 5
LuZnAu2 | PBE-GGA | relaxed

Properties
As for the total energy: -3.677 eV/atom. As for the formation enthalpy at 0 K: -589 meV per atom. The volume comes out at 19.30 Å³ per atom.

Unit cell a=3.4708 b=3.4708 c=6.4073 alpha=90.00 beta=90.00 gamma=90.00
Space group P4/mmm (No. 123)
One atom of each set of equivalent atoms:
Lu: 0.0000 0.0000 0.0000 [1 per cell]
Zn: 0.0000 0.0000 0.5000 [1 per cell]
Au: 0.5000 0.5000 0.2641 [2 per cell]

Record 6
LuZrZnAu | PBE-GGA | relaxed

Properties
As for the total energy: -4.837 eV/atom. As for the formation enthalpy at 0 K: -432 meV per atom. The volume comes out at 20.65 Å³ per atom.

Unit cell a=6.9131 b=6.9131 c=6.9131 alpha=90.00 beta=90.00 gamma=90.00
Space group F-43m (No. 216)
One atom of each set of equivalent atoms:
Lu: 0.0000 0.0000 0.0000 [4 per cell]
Zr: 0.0000 0.0000 0.5000 [4 per cell]
Zn: 0.2500 0.2500 0.2500 [4 per cell]
Au: 0.2500 0.2500 0.7500 [4 per cell]